Record 1
VASP calculation (GGA-PBE) on a relaxed Ba2FeCuGe crystal.

a b c (Å): 6.582 6.582 4.686
angles (deg): 90.00 90.00 90.00
Space group P4/mmm (No. 123)
Symmetry-distinct sites (fractional):
Ba 0.000 0.500 0.000 (multiplicity 2)
Fe 0.000 0.000 0.500 (multiplicity 1)
Cu 0.500 0.500 0.500 (multiplicity 1)
Ge 0.000 0.000 0.000 (multiplicity 1)

Output
DFT total energy: -19.367 eV per formula unit

***

Record 2
VASP calculation (GGA-PBE) on a relaxed KBa2FeCu crystal.

a b c (Å): 5.614 5.614 6.058
angles (deg): 90.00 90.00 90.00
Space group P4/mmm (No. 123)
Symmetry-distinct sites (fractional):
K 0.000 0.000 0.000 (multiplicity 1)
Ba 0.000 0.500 0.500 (multiplicity 2)
Fe 0.000 0.000 0.500 (multiplicity 1)
Cu 0.500 0.500 0.000 (multiplicity 1)

Output
DFT total energy: -13.395 eV per formula unit

***

no.,spin magnetization (μB/atom),E_form (eV per atom)
1,0.577,0.331
2,0.000,0.821